5
Lattice="-3.9858 0.1472 2.5159 1.1773 -4.0536 2.1023 2.2283 2.4050 3.3894" Properties=species:S:1:pos:R:3 comment="MgReRh3 (PBE, optimized geometry)" delta_e_f_ev_per_atom=0.837 de_polymorph_kj_per_mol_fu=0 dos_ef_per_ev_cell=4.04 magmom_total_mub_per_atom=0.000 pbc="T T T"
Rh 1.1142 1.2025 1.6947
Rh 0.5887 -2.0268 1.0512
Rh -1.9929 0.0736 1.2580
Mg -0.2900 -0.7507 4.0038
Re 0.0000 0.0000 0.0000

***

8
Lattice="-3.0069 -4.1872 -3.0842 -1.3359 -2.8212 5.1325 -8.9706 0.8992 1.6749" Properties=species:S:1:pos:R:3 comment="InTe2As (PBE, optimized geometry)" de_polymorph_kj_per_mol_fu=74 dos_ef_per_ev_cell=4.21 e_form_raw_ev_per_atom=0.10 magmom_total_mub_per_atom=0.000 pbc="T T T"
As -6.2389 -2.7131 3.9158
As -2.1714 -3.5042 1.0241
In 0.0000 0.0000 0.0000
In -7.0745 -3.3961 -0.1926
Te -3.5592 -2.2092 3.1325
Te -4.1832 -2.5975 -0.7588
Te -10.4809 -5.3587 2.8678
Te -8.4035 -2.0530 2.2049

***

Q: Which formula does entry 2 have?
A: InTe2As

***

Copy entry 1 word for word.
5
Lattice="-3.9858 0.1472 2.5159 1.1773 -4.0536 2.1023 2.2283 2.4050 3.3894" Properties=species:S:1:pos:R:3 comment="MgReRh3 (PBE, optimized geometry)" delta_e_f_ev_per_atom=0.837 de_polymorph_kj_per_mol_fu=0 dos_ef_per_ev_cell=4.04 magmom_total_mub_per_atom=0.000 pbc="T T T"
Rh 1.1142 1.2025 1.6947
Rh 0.5887 -2.0268 1.0512
Rh -1.9929 0.0736 1.2580
Mg -0.2900 -0.7507 4.0038
Re 0.0000 0.0000 0.0000